Entry 1:
Computed, not measured: a relaxed structure of Tb3MgBi4 at the PBE level of DFT.

Cell lengths 6.337, 6.337, 6.337 Å; angles 90.00, 90.00, 90.00 degrees
Space group Pm-3m (No. 221)
Asymmetric unit:
Tb 0.000 0.000 0.500
Mg 0.500 0.500 0.500
Bi 0.000 0.000 0.000
Bi 0.000 0.500 0.500

Results
Energy relative to the elements   -0.62 eV per atom
Calculated density   8.72 g/cm3

Entry 2:
Computed, not measured: a relaxed structure of LaTb4Ho5 at the PBE level of DFT.

Cell lengths 3.562, 6.641, 14.274 Å; angles 99.18, 93.86, 102.93 degrees
Space group P-1 (No. 2)
Asymmetric unit:
La 0.000 0.000 0.000
Tb 0.110 0.803 0.218
Tb 0.214 0.733 0.802
Ho 0.205 0.882 0.583
Ho 0.499 0.428 0.612
Ho 0.500 0.500 0.000

Results
Excess energy over the best structure of this formula in the dataset   0.000 eV/atom
Energy relative to the elements   0.07 eV per atom
Calculated density   8.22 g/cm3

Entry 3:
Computed, not measured: a relaxed structure of LaSn3O at the PBE level of DFT.

Cell lengths 6.114, 6.114, 6.114 Å; angles 90.00, 90.00, 90.00 degrees
Space group Pm-3m (No. 221)
Asymmetric unit:
La 0.000 0.000 0.000
Sn 0.000 0.000 0.500
O 0.500 0.500 0.500

Results
Excess energy over the best structure of this formula in the dataset   1.771 eV/atom
Calculated density   3.71 g/cm3
Formation energy (no corrections)   1.095 eV per atom

For reference, volume by record: 255 323 229 Å³/f.u..